Entry from the Alexandria database: Mn2ZnO after structural relaxation (PBE with a Hubbard U).

Values from the calculation:
E above lowest polymorph: 0.00 kJ/mol of atoms

Cell lengths 6.201, 6.201, 7.102 Å; angles 90.00, 90.00, 90.00 degrees
Space group I-42d (No. 122)
Symmetry-distinct sites (fractional):
Mn (0.169, 0.250, 0.125) x8
Zn (0.000, 0.000, 0.500) x4
O (0.000, 0.000, 0.000) x4